This record from Alexandria describes a geometry-optimized CaTlCl2 structure. The functional is PBE-GGA.

The structure in POSCAR format:
```
CaTlCl2
1.0
-2.244 2.786 3.972
-5.324 0.280 0.393
-2.526 -2.552 3.960
Tl Ca Cl
1 1 2
direct
0.750 0.750 0.750
0.500 0.500 0.500
0.000 0.000 0.000
0.250 0.250 0.250
```

Crystal system: cubic
Energy above the lowest structure with this stoichiometry (eV/f.u.): 3.05
DOS(E_F) (states/eV per cell): 3.13
Formation energy without anion corrections (eV per atom): -0.854
DFT total energy (eV/atom): -2.87



This record from Alexandria describes a geometry-optimized LaZnI2 structure. The functional is PBE-GGA.

The structure in POSCAR format:
```
LaZnI2
1.0
0.000 3.973 3.973
3.973 0.000 3.973
3.973 3.973 0.000
I Zn La
2 1 1
direct
0.250 0.250 0.250
0.750 0.750 0.750
0.000 0.000 0.000
0.500 0.500 0.500
```

Crystal system: cubic
DOS(E_F) (states/eV per cell): 4.36
Formation energy without anion corrections (eV per atom): -0.664
DFT total energy (eV/atom): -2.99



This record from Alexandria describes a geometry-optimized La4GeBi structure. The functional is PBE-GGA.

The structure in POSCAR format:
```
La4GeBi
1.0
-2.733 4.425 3.180
-6.053 -1.502 -3.111
-0.032 -8.929 4.373
La Ge Bi
8 2 2
direct
0.615 0.250 0.451
0.385 0.750 0.549
0.651 0.250 0.863
0.349 0.750 0.137
0.934 0.024 0.250
0.066 0.524 0.750
0.934 0.476 0.250
0.066 0.976 0.750
0.207 0.250 0.552
0.793 0.750 0.448
0.304 0.250 0.081
0.696 0.750 0.919
```

Crystal system: monoclinic
Energy above the lowest structure with this stoichiometry (eV/f.u.): 0.00
Formation enthalpy at 0 K (eV per formula unit): -3.80
DOS(E_F) (states/eV per cell): 15.07
DFT total energy (eV/atom): -5.33



This record from Alexandria describes a geometry-optimized Li2Tb2Si4Ni structure. The functional is PBE-GGA.

The structure in POSCAR format:
```
Li2Tb2Si4Ni
1.0
5.931 -0.387 -0.610
-2.736 5.276 0.610
-2.736 -1.700 5.032
Li Tb Si Ni
2 2 4 1
direct
0.000 0.719 0.719
0.000 0.281 0.281
0.500 0.750 0.250
0.500 0.250 0.750
0.000 0.718 0.282
0.436 0.718 0.718
0.000 0.282 0.718
0.564 0.282 0.282
0.000 0.000 0.000
```

Crystal system: tetragonal
DOS(E_F) (states/eV per cell): 3.06
Formation energy without anion corrections (eV per atom): -0.505
DFT total energy (eV/atom): -5.01



This record from Alexandria describes a geometry-optimized TaCd2Fe structure. The functional is PBE-GGA.

The structure in POSCAR format:
```
TaCd2Fe
1.0
9.421 0.024 0.014
8.917 3.039 0.014
8.917 1.489 2.649
Cd Fe Ta
2 1 1
direct
0.005 0.005 0.005
0.239 0.239 0.239
0.491 0.491 0.491
0.766 0.766 0.766
```

Crystal system: trigonal
Energy above the lowest structure with this stoichiometry (eV/f.u.): 0.38
Formation enthalpy at 0 K (eV per formula unit): 1.00
DOS(E_F) (states/eV per cell): 2.41
DFT total energy (eV/atom): -5.29



This record from Alexandria describes a geometry-optimized U2Tl3AuSe6 structure. The functional is PBE-GGA.

The structure in POSCAR format:
```
U2Tl3AuSe6
1.0
-3.205 0.841 6.593
3.376 -6.208 -2.125
6.636 4.248 1.575
U Tl Au Se
2 3 1 6
direct
0.333 0.667 0.000
0.667 0.333 0.000
0.152 0.848 0.500
0.848 0.152 0.500
0.500 0.500 0.500
0.000 0.000 0.000
0.934 0.552 0.776
0.742 0.742 0.177
0.066 0.448 0.224
0.552 0.934 0.776
0.258 0.258 0.823
0.448 0.066 0.224
```

Crystal system: monoclinic
DOS(E_F) (states/eV per cell): 12.75
Formation energy without anion corrections (eV per atom): -0.709
DFT total energy (eV/atom): -5.20



This record from Alexandria describes a geometry-optimized Zr2HgTe2 structure. The functional is PBE-GGA.

The structure in POSCAR format:
```
Zr2HgTe2
1.0
-7.597 2.274 -1.267
-0.349 -4.761 -6.458
-1.205 -2.827 2.149
Te Hg Zr
4 2 4
direct
0.147 0.647 0.500
0.647 0.853 0.500
0.853 0.353 0.500
0.353 0.147 0.500
0.000 0.000 0.000
0.500 0.500 0.000
0.355 0.855 0.000
0.855 0.645 0.000
0.645 0.145 0.000
0.145 0.355 0.000
```

Crystal system: tetragonal
Energy above the lowest structure with this stoichiometry (eV/f.u.): 0.00
DOS(E_F) (states/eV per cell): 1.09
Formation energy without anion corrections (eV per atom): -0.604
DFT total energy (eV/atom): -5.34



This record from Alexandria describes a geometry-optimized PmTa3O9 structure. The functional is PBE-GGA.

The structure in POSCAR format:
```
PmTa3O9
1.0
-1.592 -3.151 4.101
-1.969 -5.424 -4.932
7.744 -3.013 0.222
Pm Ta O
2 6 18
direct
0.034 0.250 0.434
0.966 0.750 0.566
0.000 0.000 0.000
0.000 0.500 0.000
0.473 0.493 0.698
0.473 0.007 0.698
0.527 0.993 0.302
0.527 0.507 0.302
0.086 0.250 0.982
0.154 0.941 0.787
0.154 0.559 0.787
0.263 0.961 0.468
0.263 0.539 0.468
0.349 0.250 0.659
0.319 0.952 0.123
0.319 0.548 0.123
0.435 0.250 0.314
0.565 0.750 0.686
0.681 0.048 0.877
0.681 0.452 0.877
0.651 0.750 0.341
0.737 0.039 0.532
0.737 0.461 0.532
0.846 0.059 0.213
0.846 0.441 0.213
0.914 0.750 0.018
```

Crystal system: monoclinic
DOS(E_F) (states/eV per cell): 0.00
Formation energy without anion corrections (eV per atom): -3.032
DFT total energy (eV/atom): -9.57